An optimized crystal structure of NaSr3Mg. Source: Alexandria via LeMat-Bulk, functional PBE.

Properties
**Density of states at the Fermi level**: 11.0 states/eV/cell
**Magnetic moment**: 0.00 μB per cell
**Final energy**: -1.59 eV/atom
**Formation enthalpy at 0 K**: -0.001 eV/atom

Cell: 6.0838 6.0865 12.1046 Å, 89.99 75.47 90.00°
Last column: nearest neighbours and their distance in Å.
Space group P1 (No. 1)
Inequivalent atoms, fractional coordinates:
Na1 0.0000 0.0000 0.0000  8 Sr 3.73-3.75
Na2 0.3143 0.5006 0.3724  8 Sr 3.73-3.76
Sr1 0.0921 0.5003 0.8152  2 Mg 3.71-3.72, 2 Na 3.73-3.74
Sr2 0.2218 0.0002 0.5571  2 Mg 3.72, 2 Na 3.73-3.74
Sr3 0.4078 0.0000 0.1849  4 Na 3.73-3.76, 4 Mg 3.75-3.77
Sr4 0.5933 0.0002 0.8131  2 Mg 3.73-3.74, 2 Na 3.75
Sr5 0.7207 0.4999 0.5592  2 Mg 3.73-3.74, 2 Na 3.75
Sr6 0.9064 0.4998 0.1874  4 Na 3.73-3.75, 4 Mg 3.74-3.77
Mg1 0.5004 0.4992 0.9974  8 Sr 3.71-3.77
Mg2 0.8131 0.9983 0.3746  8 Sr 3.72-3.77